Record 1
The following is a DFT calculation (GGA-PBE) of a relaxed Ta2Ti2Cu crystal.

Properties
VASP energy in eV per atom: -8.412

Lattice parameters (Å, degrees): 6.691 6.691 3.796 90.00 90.00 90.00
Space group P4/mbm (No. 127)
Symmetry-distinct sites (fractional):
Ta 0.166 0.334 0.000 (multiplicity 4)
Ti 0.137 0.637 0.500 (multiplicity 4)
Cu 0.000 0.000 0.500 (multiplicity 2)

Record 2
The following is a DFT calculation (GGA-PBE) of a relaxed TaTiCu3 crystal.

Properties
Polymorph energy (0 for the lowest one) in eV per formula unit: 0.00

Lattice parameters (Å, degrees): 4.387 4.387 4.387 90.00 90.00 90.00
Space group Pm-3m (No. 221)
Symmetry-distinct sites (fractional):
Ta 0.000 0.000 0.000 (multiplicity 1)
Ti 0.500 0.500 0.500 (multiplicity 1)
Cu 0.000 0.500 0.500 (multiplicity 3)

Record 3
The following is a DFT calculation (GGA-PBE) of a relaxed TaTi2CuW crystal.

Properties
VASP energy in eV per atom: -7.626

Lattice parameters (Å, degrees): 4.750 4.750 4.884 90.00 90.00 90.00
Space group P4/mmm (No. 123)
Symmetry-distinct sites (fractional):
Ta 0.000 0.000 0.000 (multiplicity 1)
Ti 0.000 0.500 0.500 (multiplicity 2)
Cu 0.500 0.500 0.000 (multiplicity 1)
W 0.000 0.000 0.500 (multiplicity 1)

Record 4
The following is a DFT calculation (GGA-PBE) of a relaxed TaTiCu2W crystal.

Properties
VASP energy in eV per atom: -6.497

Lattice parameters (Å, degrees): 4.358 4.358 4.651 90.00 90.00 90.00
Space group P4/mmm (No. 123)
Symmetry-distinct sites (fractional):
Ta 0.000 0.000 0.000 (multiplicity 1)
Ti 0.000 0.000 0.500 (multiplicity 1)
Cu 0.000 0.500 0.500 (multiplicity 2)
W 0.500 0.500 0.000 (multiplicity 1)

Record 5
The following is a DFT calculation (GGA-PBE) of a relaxed TaTiZnCu crystal.

Properties
VASP energy in eV per atom: -6.234

Lattice parameters (Å, degrees): 6.263 6.263 6.263 90.00 90.00 90.00
Space group F-43m (No. 216)
Symmetry-distinct sites (fractional):
Ta 0.000 0.000 0.000 (multiplicity 4)
Ti 0.000 0.000 0.500 (multiplicity 4)
Zn 0.250 0.250 0.250 (multiplicity 4)
Cu 0.250 0.250 0.750 (multiplicity 4)

Record 6
The following is a DFT calculation (GGA-PBE) of a relaxed TaTi2Zn2Cu2 crystal.

Properties
VASP energy in eV per atom: -5.525

Lattice parameters (Å, degrees): 8.954 4.090 5.699 90.00 93.55 90.00
Space group C2/m (No. 12)
Symmetry-distinct sites (fractional):
Ta 0.000 0.000 0.000 (multiplicity 2)
Ti 0.095 0.500 0.715 (multiplicity 4)
Zn 0.203 0.500 0.177 (multiplicity 4)
Cu 0.130 0.000 0.436 (multiplicity 4)

no.,volume (Å³ per atom)
1,17.00
2,16.88
3,22.04
4,17.67
5,15.35
6,14.88